[1]
# LiGeSe PBE relaxed
# - Relative energy among the computed polymorphs: 4 meV/atom
# - D(E_F): 0.07 states/eV per atom
# - ΔE_f (raw): -0.66 eV per atom
data_LiGeSe
_chemical_formula_sum 'Li4 Ge4 Se4'
_symmetry_space_group_name_H-M 'C 1 m 1'
_symmetry_Int_Tables_number 8
_symmetry_space_group_name_Hall 'C -2y'
_cell_length_a 7.2920
_cell_length_b 4.3551
_cell_length_c 8.6973
_cell_angle_alpha 90.00
_cell_angle_beta 97.80
_cell_angle_gamma 90.00
loop_
_atom_site_label
_atom_site_fract_x
_atom_site_fract_y
_atom_site_fract_z
_atom_site_occupancy
Li1 0.0000 0.0000 0.0000 1
Li2 0.0468 0.5000 0.2568 1
Ge1 0.3207 0.0000 0.6730 1
Ge2 0.4709 0.5000 0.5859 1
Se1 0.3330 0.0000 0.9517 1
Se2 0.3952 0.5000 0.3076 1

***

[2]
# Li2GeSe PBE relaxed
# - Relative energy among the computed polymorphs: 82 meV/atom
# - D(E_F): 0.30 states/eV per atom
# - ΔE_f (raw): -0.29 eV per atom
data_Li2GeSe
_chemical_formula_sum 'Li6 Ge3 Se3'
_symmetry_space_group_name_H-M 'R -3 m'
_symmetry_Int_Tables_number 166
_symmetry_space_group_name_Hall '-R 3 2"'
_cell_length_a 3.2330
_cell_length_b 3.2330
_cell_length_c 26.3551
_cell_angle_alpha 90.00
_cell_angle_beta 90.00
_cell_angle_gamma 120.00
loop_
_atom_site_label
_atom_site_fract_x
_atom_site_fract_y
_atom_site_fract_z
_atom_site_occupancy
Li1 0.0000 0.0000 0.1022 1
Ge1 0.0000 0.0000 0.0000 1
Se1 0.0000 0.0000 0.5000 1

***

[3]
# Li2SmGeSe4 PBE relaxed
# - D(E_F): 0.23 states/eV per atom
# - ΔE_f (raw): -1.08 eV per atom
data_Li2SmGeSe4
_chemical_formula_sum 'Li2 Sm1 Ge1 Se4'
_symmetry_space_group_name_H-M 'P 1 2/m 1'
_symmetry_Int_Tables_number 10
_symmetry_space_group_name_Hall '-P 2y'
_cell_length_a 6.8390
_cell_length_b 3.9874
_cell_length_c 6.9919
_cell_angle_alpha 90.00
_cell_angle_beta 109.53
_cell_angle_gamma 90.00
loop_
_atom_site_label
_atom_site_fract_x
_atom_site_fract_y
_atom_site_fract_z
_atom_site_occupancy
Li1 0.0000 0.0000 0.0000 1
Li2 0.0000 0.5000 0.5000 1
Sm1 0.5000 0.0000 0.5000 1
Ge1 0.5000 0.5000 0.0000 1
Se1 0.2447 0.5000 0.2313 1
Se2 0.2503 0.0000 0.7663 1

***

[4]
# LiSn2GeSe6 PBE relaxed
# - D(E_F): 0.45 states/eV per atom
# - ΔE_f (raw): -0.36 eV per atom
data_LiSn2GeSe6
_chemical_formula_sum 'Li4 Sn8 Ge4 Se24'
_symmetry_space_group_name_H-M 'C 1 2/c 1'
_symmetry_Int_Tables_number 15
_symmetry_space_group_name_Hall '-C 2yc'
_cell_length_a 13.5976
_cell_length_b 11.9176
_cell_length_c 7.2645
_cell_angle_alpha 90.00
_cell_angle_beta 107.01
_cell_angle_gamma 90.00
loop_
_atom_site_label
_atom_site_fract_x
_atom_site_fract_y
_atom_site_fract_z
_atom_site_occupancy
Li1 0.0000 0.1157 0.2500 1
Sn1 0.2037 0.4070 0.2339 1
Ge1 0.0000 0.2222 0.7500 1
Se1 0.0986 0.0745 0.6251 1
Se2 0.1254 0.4217 0.5211 1
Se3 0.1373 0.2139 0.1009 1

***

[5]
# LiSnGeSe3 PBE relaxed
# - D(E_F): 0.31 states/eV per atom
# - ΔE_f (raw): -0.46 eV per atom
data_LiSnGeSe3
_chemical_formula_sum 'Li2 Sn2 Ge2 Se6'
_symmetry_space_group_name_H-M 'P 1 21/m 1'
_symmetry_Int_Tables_number 11
_symmetry_space_group_name_Hall '-P 2yb'
_cell_length_a 8.4707
_cell_length_b 3.7753
_cell_length_c 9.6654
_cell_angle_alpha 90.00
_cell_angle_beta 99.67
_cell_angle_gamma 90.00
loop_
_atom_site_label
_atom_site_fract_x
_atom_site_fract_y
_atom_site_fract_z
_atom_site_occupancy
Li1 0.0985 0.2500 0.0967 1
Sn1 0.1832 0.2500 0.7470 1
Ge1 0.3391 0.7500 0.3992 1
Se1 0.1273 0.2500 0.3650 1
Se2 0.2187 0.7500 0.9651 1
Se3 0.4300 0.7500 0.6637 1

***

[6]
# Li2TbGeSe4 PBE relaxed
# - D(E_F): 0.21 states/eV per atom
# - ΔE_f (raw): -1.10 eV per atom
data_Li2TbGeSe4
_chemical_formula_sum 'Li2 Tb1 Ge1 Se4'
_symmetry_space_group_name_H-M 'P 1 2/m 1'
_symmetry_Int_Tables_number 10
_symmetry_space_group_name_Hall '-P 2y'
_cell_length_a 6.8343
_cell_length_b 3.9468
_cell_length_c 6.9349
_cell_angle_alpha 90.00
_cell_angle_beta 109.56
_cell_angle_gamma 90.00
loop_
_atom_site_label
_atom_site_fract_x
_atom_site_fract_y
_atom_site_fract_z
_atom_site_occupancy
Li1 0.0000 0.0000 0.0000 1
Li2 0.0000 0.5000 0.5000 1
Tb1 0.5000 0.0000 0.5000 1
Ge1 0.5000 0.5000 0.0000 1
Se1 0.2479 0.5000 0.2354 1
Se2 0.2521 0.0000 0.7627 1

***

[7]
# Li2GeTeSe4 PBE relaxed
# - D(E_F): 0.20 states/eV per atom
# - ΔE_f (raw): -0.50 eV per atom
data_Li2GeTeSe4
_chemical_formula_sum 'Li8 Ge4 Te4 Se16'
_symmetry_space_group_name_H-M 'I m m a'
_symmetry_Int_Tables_number 74
_symmetry_space_group_name_Hall '-I 2b 2'
_cell_length_a 7.9745
_cell_length_b 8.0234
_cell_length_c 11.1810
_cell_angle_alpha 90.00
_cell_angle_beta 90.00
_cell_angle_gamma 90.00
loop_
_atom_site_label
_atom_site_fract_x
_atom_site_fract_y
_atom_site_fract_z
_atom_site_occupancy
Li1 0.0000 0.0000 0.0000 1
Li2 0.2500 0.2500 0.2500 1
Ge1 0.2500 0.2500 0.7500 1
Te1 0.0000 0.0000 0.5000 1
Se1 0.0000 0.0011 0.2491 1
Se2 0.2464 0.2500 0.0041 1

***

[8]
# Li2ThGeSe4 PBE relaxed
# - ΔE_f (raw): -1.16 eV per atom
data_Li2ThGeSe4
_chemical_formula_sum 'Li2 Th1 Ge1 Se4'
_symmetry_space_group_name_H-M 'P 1 2/m 1'
_symmetry_Int_Tables_number 10
_symmetry_space_group_name_Hall '-P 2y'
_cell_length_a 6.8174
_cell_length_b 4.1673
_cell_length_c 7.1247
_cell_angle_alpha 90.00
_cell_angle_beta 109.57
_cell_angle_gamma 90.00
loop_
_atom_site_label
_atom_site_fract_x
_atom_site_fract_y
_atom_site_fract_z
_atom_site_occupancy
Li1 0.0000 0.0000 0.0000 1
Li2 0.0000 0.5000 0.5000 1
Th1 0.5000 0.0000 0.5000 1
Ge1 0.5000 0.5000 0.0000 1
Se1 0.2441 0.5000 0.2452 1
Se2 0.2498 0.0000 0.7542 1

***

[9]
# Li2TmGeSe4 PBE relaxed
# - D(E_F): 0.20 states/eV per atom
# - ΔE_f (raw): -1.11 eV per atom
data_Li2TmGeSe4
_chemical_formula_sum 'Li2 Tm1 Ge1 Se4'
_symmetry_space_group_name_H-M 'P 1 2/m 1'
_symmetry_Int_Tables_number 10
_symmetry_space_group_name_Hall '-P 2y'
_cell_length_a 6.8322
_cell_length_b 3.9072
_cell_length_c 6.8754
_cell_angle_alpha 90.00
_cell_angle_beta 109.55
_cell_angle_gamma 90.00
loop_
_atom_site_label
_atom_site_fract_x
_atom_site_fract_y
_atom_site_fract_z
_atom_site_occupancy
Li1 0.0000 0.0000 0.0000 1
Li2 0.0000 0.5000 0.5000 1
Tm1 0.5000 0.0000 0.5000 1
Ge1 0.5000 0.5000 0.0000 1
Se1 0.2512 0.5000 0.2398 1
Se2 0.2541 0.0000 0.7591 1

***

[10]
# Li4Tm3GeSe8 PBE relaxed
# - D(E_F): 0.16 states/eV per atom
# - ΔE_f (raw): -1.39 eV per atom
data_Li4Tm3GeSe8
_chemical_formula_sum 'Li12 Tm9 Ge3 Se24'
_symmetry_space_group_name_H-M 'R -3 m'
_symmetry_Int_Tables_number 166
_symmetry_space_group_name_Hall '-R 3 2"'
_cell_length_a 7.9772
_cell_length_b 7.9772
_cell_length_c 19.3646
_cell_angle_alpha 90.00
_cell_angle_beta 90.00
_cell_angle_gamma 120.00
loop_
_atom_site_label
_atom_site_fract_x
_atom_site_fract_y
_atom_site_fract_z
_atom_site_occupancy
Li1 0.0000 0.0000 0.0000 1
Li2 0.0000 0.5000 0.0000 1
Tm1 0.0000 0.5000 0.5000 1
Ge1 0.0000 0.0000 0.5000 1
Se1 0.0000 0.0000 0.2507 1
Se2 0.0097 0.5048 0.2489 1

***

[11]
# Li3UGe2Se6 PBE relaxed
# - D(E_F): 0.08 states/eV per atom
# - ΔE_f (raw): -0.88 eV per atom
data_Li3UGe2Se6
_chemical_formula_sum 'Li6 U2 Ge4 Se12'
_symmetry_space_group_name_H-M 'C 1 2/m 1'
_symmetry_Int_Tables_number 12
_symmetry_space_group_name_Hall '-C 2y'
_cell_length_a 7.0038
_cell_length_b 12.1392
_cell_length_c 6.7404
_cell_angle_alpha 90.00
_cell_angle_beta 110.21
_cell_angle_gamma 90.00
loop_
_atom_site_label
_atom_site_fract_x
_atom_site_fract_y
_atom_site_fract_z
_atom_site_occupancy
Li1 0.0000 0.0000 0.0000 1
Li2 0.0000 0.3298 0.0000 1
U1 0.0000 0.5000 0.5000 1
Ge1 0.0000 0.1658 0.5000 1
Se1 0.2454 0.3371 0.7477 1
Se2 0.2449 0.5000 0.2555 1

***

[12]
# Li2YGeSe4 PBE relaxed
# - D(E_F): 0.21 states/eV per atom
# - ΔE_f (raw): -1.11 eV per atom
data_Li2YGeSe4
_chemical_formula_sum 'Li2 Y1 Ge1 Se4'
_symmetry_space_group_name_H-M 'P 1 2/m 1'
_symmetry_Int_Tables_number 10
_symmetry_space_group_name_Hall '-P 2y'
_cell_length_a 6.8339
_cell_length_b 3.9370
_cell_length_c 6.9246
_cell_angle_alpha 90.00
_cell_angle_beta 109.56
_cell_angle_gamma 90.00
loop_
_atom_site_label
_atom_site_fract_x
_atom_site_fract_y
_atom_site_fract_z
_atom_site_occupancy
Li1 0.0000 0.0000 0.0000 1
Li2 0.0000 0.5000 0.5000 1
Y1 0.5000 0.0000 0.5000 1
Ge1 0.5000 0.5000 0.0000 1
Se1 0.2486 0.5000 0.2362 1
Se2 0.2525 0.0000 0.7620 1

***

[13]
# Li2ZnGeSe4 PBE relaxed
# - ΔE_f (raw): -0.78 eV per atom
data_Li2ZnGeSe4
_chemical_formula_sum 'Li4 Zn2 Ge2 Se8'
_symmetry_space_group_name_H-M 'P m n 21'
_symmetry_Int_Tables_number 31
_symmetry_space_group_name_Hall 'P 2ac -2'
_cell_length_a 7.9382
_cell_length_b 7.2473
_cell_length_c 6.6788
_cell_angle_alpha 90.00
_cell_angle_beta 90.00
_cell_angle_gamma 90.00
loop_
_atom_site_label
_atom_site_fract_x
_atom_site_fract_y
_atom_site_fract_z
_atom_site_occupancy
Li1 0.2461 0.1717 0.0000 1
Zn1 0.0000 0.3525 0.4931 1
Ge1 0.0000 0.6625 0.9975 1
Se1 0.0000 0.3565 0.8674 1
Se2 0.0000 0.6677 0.3564 1
Se3 0.2445 0.8295 0.8838 1

***

[14]
# Li6SiGe PBE relaxed
# - D(E_F): 0.47 states/eV per atom
# - ΔE_f (raw): -0.21 eV per atom
data_Li6SiGe
_chemical_formula_sum 'Li6 Si1 Ge1'
_symmetry_space_group_name_H-M 'P -1'
_symmetry_Int_Tables_number 2
_symmetry_space_group_name_Hall '-P 1'
_cell_length_a 4.9643
_cell_length_b 4.9688
_cell_length_c 4.9783
_cell_angle_alpha 95.32
_cell_angle_beta 95.18
_cell_angle_gamma 95.42
loop_
_atom_site_label
_atom_site_fract_x
_atom_site_fract_y
_atom_site_fract_z
_atom_site_occupancy
Li1 0.0181 0.2485 0.4790 1
Li2 0.2521 0.0206 0.9817 1
Li3 0.4814 0.5175 0.7480 1
Si1 0.5000 0.0000 0.5000 1
Ge1 0.0000 0.5000 0.0000 1

***

[15]
# LiSiGe2 PBE relaxed
# - D(E_F): 0.44 states/eV per atom
# - ΔE_f (raw): 0.09 eV per atom
data_LiSiGe2
_chemical_formula_sum 'Li3 Si3 Ge6'
_symmetry_space_group_name_H-M 'R -3 m'
_symmetry_Int_Tables_number 166
_symmetry_space_group_name_Hall '-R 3 2"'
_cell_length_a 3.2591
_cell_length_b 3.2591
_cell_length_c 23.1448
_cell_angle_alpha 90.00
_cell_angle_beta 90.00
_cell_angle_gamma 120.00
loop_
_atom_site_label
_atom_site_fract_x
_atom_site_fract_y
_atom_site_fract_z
_atom_site_occupancy
Li1 0.0000 0.0000 0.0000 1
Si1 0.0000 0.0000 0.5000 1
Ge1 0.0000 0.0000 0.2433 1

***

[16]
# LiSi2Ge2 PBE relaxed
# - Relative energy among the computed polymorphs: 91 meV/atom
# - D(E_F): 0.27 states/eV per atom
# - ΔE_f (raw): 0.18 eV per atom
data_LiSi2Ge2
_chemical_formula_sum 'Li2 Si4 Ge4'
_symmetry_space_group_name_H-M 'P 4/m b m'
_symmetry_Int_Tables_number 127
_symmetry_space_group_name_Hall '-P 4 2ab'
_cell_length_a 7.0530
_cell_length_b 7.0530
_cell_length_c 3.5475
_cell_angle_alpha 90.00
_cell_angle_beta 90.00
_cell_angle_gamma 90.00
loop_
_atom_site_label
_atom_site_fract_x
_atom_site_fract_y
_atom_site_fract_z
_atom_site_occupancy
Li1 0.0000 0.0000 0.0000 1
Si1 0.1258 0.3742 0.0000 1
Ge1 0.1616 0.6616 0.5000 1

***

[17]
# Li2Si2Ge PBE relaxed
# - Relative energy among the computed polymorphs: 0 meV/atom
# - D(E_F): 0.38 states/eV per atom
# - ΔE_f (raw): 0.00 eV per atom
data_Li2Si2Ge
_chemical_formula_sum 'Li4 Si4 Ge2'
_symmetry_space_group_name_H-M 'P 4/m b m'
_symmetry_Int_Tables_number 127
_symmetry_space_group_name_Hall '-P 4 2ab'
_cell_length_a 7.4679
_cell_length_b 7.4679
_cell_length_c 2.8132
_cell_angle_alpha 90.00
_cell_angle_beta 90.00
_cell_angle_gamma 90.00
loop_
_atom_site_label
_atom_site_fract_x
_atom_site_fract_y
_atom_site_fract_z
_atom_site_occupancy
Li1 0.1872 0.3128 0.0000 1
Si1 0.1115 0.6115 0.5000 1
Ge1 0.0000 0.0000 0.5000 1

***

[18]
# LiSi2Ge2 PBE relaxed
# - Relative energy among the computed polymorphs: 0 meV/atom
# - D(E_F): 0.28 states/eV per atom
# - ΔE_f (raw): 0.09 eV per atom
data_LiSi2Ge2
_chemical_formula_sum 'Li2 Si4 Ge4'
_symmetry_space_group_name_H-M 'I 4/m m m'
_symmetry_Int_Tables_number 139
_symmetry_space_group_name_Hall '-I 4 2'
_cell_length_a 4.6768
_cell_length_b 4.6768
_cell_length_c 8.7286
_cell_angle_alpha 90.00
_cell_angle_beta 90.00
_cell_angle_gamma 90.00
loop_
_atom_site_label
_atom_site_fract_x
_atom_site_fract_y
_atom_site_fract_z
_atom_site_occupancy
Li1 0.0000 0.0000 0.0000 1
Si1 0.0000 0.0000 0.3657 1
Ge1 0.0000 0.5000 0.2500 1

***

[19]
# LiSiGe2 PBE relaxed
# - D(E_F): 0.31 states/eV per atom
# - ΔE_f (raw): 0.04 eV per atom
data_LiSiGe2
_chemical_formula_sum 'Li4 Si4 Ge8'
_symmetry_space_group_name_H-M 'I -4 2 d'
_symmetry_Int_Tables_number 122
_symmetry_space_group_name_Hall 'I -4 2bw'
_cell_length_a 7.4753
_cell_length_b 7.4753
_cell_length_c 5.3472
_cell_angle_alpha 90.00
_cell_angle_beta 90.00
_cell_angle_gamma 90.00
loop_
_atom_site_label
_atom_site_fract_x
_atom_site_fract_y
_atom_site_fract_z
_atom_site_occupancy
Li1 0.0000 0.0000 0.0000 1
Si1 0.0000 0.0000 0.5000 1
Ge1 0.1986 0.2500 0.6250 1

***

[20]
# Li2Si2Ge PBE relaxed
# - Relative energy among the computed polymorphs: 104 meV/atom
# - D(E_F): 0.26 states/eV per atom
# - ΔE_f (raw): 0.10 eV per atom
data_Li2Si2Ge
_chemical_formula_sum 'Li4 Si4 Ge2'
_symmetry_space_group_name_H-M 'I 4/m m m'
_symmetry_Int_Tables_number 139
_symmetry_space_group_name_Hall '-I 4 2'
_cell_length_a 3.8201
_cell_length_b 3.8201
_cell_length_c 11.5759
_cell_angle_alpha 90.00
_cell_angle_beta 90.00
_cell_angle_gamma 90.00
loop_
_atom_site_label
_atom_site_fract_x
_atom_site_fract_y
_atom_site_fract_z
_atom_site_occupancy
Li1 0.0000 0.5000 0.2500 1
Si1 0.0000 0.0000 0.0968 1
Ge1 0.0000 0.0000 0.5000 1

***

[21]
# LiSi2Ge2 PBE relaxed
# - Relative energy among the computed polymorphs: 138 meV/atom
# - D(E_F): 0.37 states/eV per atom
# - ΔE_f (raw): 0.23 eV per atom
data_LiSi2Ge2
_chemical_formula_sum 'Li2 Si4 Ge4'
_symmetry_space_group_name_H-M 'I 4/m m m'
_symmetry_Int_Tables_number 139
_symmetry_space_group_name_Hall '-I 4 2'
_cell_length_a 3.5225
_cell_length_b 3.5225
_cell_length_c 14.2747
_cell_angle_alpha 90.00
_cell_angle_beta 90.00
_cell_angle_gamma 90.00
loop_
_atom_site_label
_atom_site_fract_x
_atom_site_fract_y
_atom_site_fract_z
_atom_site_occupancy
Li1 0.0000 0.0000 0.0000 1
Si1 0.0000 0.5000 0.2500 1
Ge1 0.0000 0.0000 0.4003 1

***

[22]
# LiSi2Ge PBE relaxed
# - D(E_F): 0.22 states/eV per atom
# - ΔE_f (raw): 0.15 eV per atom
data_LiSi2Ge
_chemical_formula_sum 'Li4 Si8 Ge4'
_symmetry_space_group_name_H-M 'I -4 2 d'
_symmetry_Int_Tables_number 122
_symmetry_space_group_name_Hall 'I -4 2bw'
_cell_length_a 7.4299
_cell_length_b 7.4299
_cell_length_c 5.0766
_cell_angle_alpha 90.00
_cell_angle_beta 90.00
_cell_angle_gamma 90.00
loop_
_atom_site_label
_atom_site_fract_x
_atom_site_fract_y
_atom_site_fract_z
_atom_site_occupancy
Li1 0.0000 0.0000 0.0000 1
Si1 0.2022 0.7500 0.6250 1
Ge1 0.0000 0.0000 0.5000 1

***

[23]
# Li2SiTcGe PBE relaxed
# - D(E_F): 0.47 states/eV per atom
# - ΔE_f (raw): 0.91 eV per atom
data_Li2SiTcGe
_chemical_formula_sum 'Li2 Si1 Tc1 Ge1'
_symmetry_space_group_name_H-M 'P 4/m m m'
_symmetry_Int_Tables_number 123
_symmetry_space_group_name_Hall '-P 4 2'
_cell_length_a 4.3853
_cell_length_b 4.3853
_cell_length_c 4.7768
_cell_angle_alpha 90.00
_cell_angle_beta 90.00
_cell_angle_gamma 90.00
loop_
_atom_site_label
_atom_site_fract_x
_atom_site_fract_y
_atom_site_fract_z
_atom_site_occupancy
Li1 0.0000 0.5000 0.0000 1
Si1 0.0000 0.0000 0.5000 1
Tc1 0.5000 0.5000 0.5000 1
Ge1 0.0000 0.0000 0.0000 1

***

no.,total energy (eV/atom),theoretical density (g/cm3)
1,-4.003,3.85
2,-3.276,3.46
3,-4.470,5.11
4,-3.904,4.67
5,-3.960,4.74
6,-4.477,5.29
7,-3.691,4.92
8,-4.889,5.52
9,-4.463,5.49
10,-4.742,5.78
11,-4.808,5.42
12,-4.712,4.65
13,-3.734,4.04
14,-2.900,1.95
15,-4.052,4.22
16,-4.215,3.92
17,-3.861,3.02
18,-4.306,3.63
19,-4.099,4.01
20,-3.757,2.81
21,-4.168,3.91
22,-4.191,3.22
23,-3.935,3.84